Entry from Alexandria via LeMat-Bulk: a geometry-optimized AlH2S structure (PBE).

The value obtained for the distance to the lowest polymorph of the same formula is 646 meV per atom. Its crystal system is cubic. Its volume is 37.0 Å³/f.u.

It has space group Fm-3m (No. 225), with a = 5.290 Å, b = 5.290 Å, c = 5.290 Å, α = 90.00°, β = 90.00° and γ = 90.00°. The distinct sites, in fractional coordinates, are Al at (0.000, 0.000, 0.000), H at (0.250, 0.250, 0.250) and S at (0.000, 0.000, 0.500).

Entry from Alexandria via LeMat-Bulk: a geometry-optimized YBO2 structure (PBE).

Its raw total energy is -7.57 eV/atom. Its crystal system is trigonal. Its volume is 54.0 Å³/f.u.

It has space group R-3m (No. 166, hexagonal axes), with a = 3.2201 Å, b = 3.2201 Å, c = 18.0404 Å, α = 90.00°, β = 90.00° and γ = 120.00°. The distinct sites, in fractional coordinates, are Y at (0.0000, 0.0000, 0.0000), B at (0.0000, 0.0000, 0.5000) and O at (0.0000, 0.0000, 0.4288).

Entry from Alexandria via LeMat-Bulk: a geometry-optimized HoTm2Hf structure (PBE).

The value obtained for the distance to the lowest polymorph of the same formula is 25 meV per atom. For the energy of formation, the calculation gives 2.092 kcal/mol of atoms. Its crystal system is trigonal. Its volume is 111.2 Å³/f.u.

It has space group R3m (No. 160, hexagonal axes), with a = 3.4115 Å, b = 3.4115 Å, c = 33.1108 Å, α = 90.00°, β = 90.00° and γ = 120.00°. The distinct sites, in fractional coordinates, are Ho at (0.0000, 0.0000, 0.0000), Tm at (0.0000, 0.0000, 0.2454), Tm at (0.0000, 0.0000, 0.4220) and Hf at (0.0000, 0.0000, 0.8340).

Entry from Alexandria via LeMat-Bulk: a geometry-optimized Sr2PrSe4 structure (PBE).

Its raw total energy is -4.85 eV/atom. Its crystal system is orthorhombic. Its volume is 219.1 Å³/f.u.

It has space group Cmcm (No. 63), with a = 4.299 Å, b = 14.977 Å, c = 13.607 Å, α = 90.00°, β = 90.00° and γ = 90.00°. The distinct sites, in fractional coordinates, are Sr at (0.000, 0.129, 0.068), Pr at (0.000, 0.390, 0.250), Se at (0.000, 0.021, 0.250), Se at (0.000, 0.225, 0.638) and Se at (0.000, 0.500, 0.000).